# CsReSe2N

Crystalline CsReSe2N at its relaxed geometry (PBE, the Alexandria database).

Results
energy above the most stable polymorph in this dataset: 61.424 kcal/mol of atoms
E_form (uncorrected): 13.471 eV per formula unit
space group: No. 123
total magnetic moment: 3.190 μB/cell
raw total energy: -3.025 eV/atom

Geometry as POSCAR:
```
CsReSe2N
1.0
5.923 0.000 0.000
0.000 5.923 0.000
0.000 0.000 4.410
Cs Re Se N
1 1 2 1
Direct
0.000 0.000 0.000
0.500 0.500 0.500
0.000 0.500 0.000
0.500 0.000 0.000
0.000 0.000 0.500
```